The following is a PBE-GGA calculation of crystalline RbHoPbS3 at its relaxed geometry, from OQMD.

## Properties
Energy above the lowest structure with this stoichiometry ... 0.0 kJ per mole of atoms
Magnetization ... 0.01 μB per cell
Electronic total energy ... -4.95 eV/atom
SG ... C2/m (12)

a b c (Å): 9.144 9.144 9.609
angles (deg): 102.19 102.19 25.90
Sites, in units of the cell vectors:
Rb 0.150 0.150 0.070
Rb 0.850 0.850 0.930
Ho 0.171 0.171 0.576
Ho 0.829 0.829 0.424
Pb 0.495 0.495 0.279
Pb 0.505 0.505 0.721
S 0.000 0.000 0.500
S 0.325 0.325 0.618
S 0.335 0.335 0.236
S 0.500 0.500 0.000
S 0.665 0.665 0.764
S 0.675 0.675 0.382


The following is a PBE-GGA calculation of crystalline Ho2PbS3 at its relaxed geometry, from OQMD.

## Properties
Magnetization ... 0.01 μB per cell
Electronic total energy ... -5.75 eV/atom
SG ... P-3m1 (164)

a b c (Å): 3.846 3.846 11.541
angles (deg): 90.00 90.00 120.00
Sites, in units of the cell vectors:
Ho 0.333 0.667 0.145
Ho 0.667 0.333 0.855
Pb 0.000 0.000 0.500
S 0.000 0.000 0.000
S 0.333 0.667 0.726
S 0.667 0.333 0.274


The following is a PBE-GGA calculation of crystalline HoPbS2 at its relaxed geometry, from OQMD.

## Properties
Magnetization ... 0.01 μB per cell
Electronic total energy ... -5.23 eV/atom
SG ... P4/mmm (123)

a b c (Å): 4.064 4.064 5.775
angles (deg): 90.00 90.00 90.00
Sites, in units of the cell vectors:
Ho 0.000 0.000 0.000
Pb 0.500 0.500 0.500
S 0.000 0.000 0.500
S 0.500 0.500 0.000


The following is a PBE-GGA calculation of crystalline HoSnPbS3 at its relaxed geometry, from OQMD.

## Properties
Magnetization ... 0.01 μB per cell
Electronic total energy ... -5.10 eV/atom
SG ... Cmcm (63)

a b c (Å): 7.680 7.680 11.177
angles (deg): 90.00 90.00 150.93
Sites, in units of the cell vectors:
Ho 0.000 0.000 0.000
Ho 0.000 0.000 0.500
Sn 0.356 0.644 0.750
Sn 0.644 0.356 0.250
Pb 0.336 0.664 0.250
Pb 0.664 0.336 0.750
S 0.007 0.993 0.250
S 0.373 0.627 0.503
S 0.373 0.627 0.997
S 0.627 0.373 0.003
S 0.627 0.373 0.497
S 0.993 0.007 0.750


The following is a PBE-GGA calculation of crystalline HoZnPbS3 at its relaxed geometry, from OQMD.

## Properties
Magnetization ... 0.02 μB per cell
Electronic total energy ... -4.65 eV/atom
SG ... Cmcm (63)

a b c (Å): 7.297 7.297 10.448
angles (deg): 90.00 90.00 149.42
Sites, in units of the cell vectors:
Ho 0.000 0.000 0.000
Ho 0.000 0.000 0.500
Zn 0.446 0.554 0.750
Zn 0.554 0.446 0.250
Pb 0.253 0.747 0.250
Pb 0.747 0.253 0.750
S 0.054 0.946 0.750
S 0.368 0.632 0.549
S 0.368 0.632 0.951
S 0.632 0.368 0.049
S 0.632 0.368 0.451
S 0.946 0.054 0.250


The following is a PBE-GGA calculation of crystalline HoScPb at its relaxed geometry, from OQMD.

## Properties
Energy above the lowest structure with this stoichiometry ... 48.8 kJ per mole of atoms
Magnetization ... 0.15 μB per cell
Electronic total energy ... -4.51 eV/atom
SG ... F-43m (216)

a b c (Å): 5.124 5.124 5.124
angles (deg): 60.00 60.00 60.00
Sites, in units of the cell vectors:
Ho 0.000 0.000 0.000
Sc 0.250 0.250 0.250
Pb 0.750 0.750 0.750


Question: Look up the electronic total energy of the first one.
Answer: -4.95 eV/atom